(1)
The following is a DFT calculation (GGA-PBE) of a relaxed ScCdOs2 crystal.

For the energy of formation from the pure elements, the calculation gives 27 kJ/mol of atoms. The calculated volume comes out at 16.70 Å³ per atom. Its density of states at the Fermi level is 5.52 states/eV/f.u.

The structure belongs to space group I-4m2 (No. 119); the cell edges are 4.0966, 4.0966 and 7.9620 Å and the angles 90.00°, 90.00° and 90.00°. The distinct sites, in fractional coordinates, are Sc at (0.0000, 0.0000, 0.0000), Cd at (0.0000, 0.5000, 0.7500), Os at (0.0000, 0.0000, 0.5000) and Os at (0.0000, 0.5000, 0.2500).

***

(2)
The following is a DFT calculation (GGA-PBE) of a relaxed Sc3CdOs crystal.

For the energy of formation from the pure elements, the calculation gives -4 kJ/mol of atoms. The calculated volume comes out at 25.62 Å³ per atom. Its density of states at the Fermi level is 3.36 states/eV/f.u.

The structure belongs to space group Pm-3m (No. 221); the cell edges are 5.0411, 5.0411 and 5.0411 Å and the angles 90.00°, 90.00° and 90.00°. The distinct sites, in fractional coordinates, are Sc at (0.0000, 0.0000, 0.5000), Cd at (0.5000, 0.5000, 0.5000) and Os at (0.0000, 0.0000, 0.0000).

***

(3)
The following is a DFT calculation (GGA-PBE) of a relaxed Sc4Cd3Os crystal.

For the energy of formation from the pure elements, the calculation gives -35 kJ/mol of atoms. The calculated volume comes out at 20.74 Å³ per atom. Its density of states at the Fermi level is 5.32 states/eV/f.u.

The structure belongs to space group P4/mmm (No. 123); the cell edges are 3.2886, 3.2886 and 15.3421 Å and the angles 90.00°, 90.00° and 90.00°. The distinct sites, in fractional coordinates, are Sc at (0.0000, 0.0000, 0.0996), Sc at (0.0000, 0.0000, 0.3663), Cd at (0.5000, 0.5000, 0.2359), Cd at (0.5000, 0.5000, 0.5000) and Os at (0.5000, 0.5000, 0.0000).

***

(4)
The following is a DFT calculation (GGA-PBE) of a relaxed ScCdOs2 crystal.

For the energy of formation from the pure elements, the calculation gives 25 kJ/mol of atoms. The calculated volume comes out at 16.83 Å³ per atom. Its density of states at the Fermi level is 4.37 states/eV/f.u.

The structure belongs to space group C2/m (No. 12); the cell edges are 9.3024, 2.9229 and 5.0453 Å and the angles 90.00°, 101.08° and 90.00°. The distinct sites, in fractional coordinates, are Sc at (0.0000, 0.0000, 0.0000), Cd at (0.0000, 0.5000, 0.5000) and Os at (0.2443, 0.5000, 0.2279).

***

(5)
The following is a DFT calculation (GGA-PBE) of a relaxed Sc8CdOs2 crystal.

For the energy of formation from the pure elements, the calculation gives -27 kJ/mol of atoms. The calculated volume comes out at 21.25 Å³ per atom. Its density of states at the Fermi level is 9.54 states/eV/f.u.

The structure belongs to space group Imm2 (No. 44); the cell edges are 4.8796, 14.6820 and 6.5258 Å and the angles 90.00°, 90.00° and 90.00°. The distinct sites, in fractional coordinates, are Sc at (0.0000, 0.0000, 0.0000), Sc at (0.0000, 0.1141, 0.5589), Sc at (0.0000, 0.2930, 0.8780), Sc at (0.0000, 0.3316, 0.4185), Sc at (0.0000, 0.5000, 0.7706), Cd at (0.0000, 0.5000, 0.2015) and Os at (0.0000, 0.1697, 0.1811).

***

(6)
The following is a DFT calculation (GGA-PBE) of a relaxed Sc2Cd2Os crystal.

For the energy of formation from the pure elements, the calculation gives -36 kJ/mol of atoms. The calculated volume comes out at 19.95 Å³ per atom. Its density of states at the Fermi level is 1.69 states/eV/f.u.

The structure belongs to space group I4/mmm (No. 139); the cell edges are 3.2633, 3.2633 and 18.7317 Å and the angles 90.00°, 90.00° and 90.00°. The distinct sites, in fractional coordinates, are Sc at (0.0000, 0.0000, 0.0823), Cd at (0.0000, 0.0000, 0.3021) and Os at (0.0000, 0.0000, 0.5000).

***

(7)
The following is a DFT calculation (GGA-PBE) of a relaxed ScCdOs2 crystal.

For the energy of formation from the pure elements, the calculation gives 29 kJ/mol of atoms. The calculated volume comes out at 16.83 Å³ per atom. Its density of states at the Fermi level is 5.67 states/eV/f.u.

The structure belongs to space group F-43m (No. 216); the cell edges are 6.4574, 6.4574 and 6.4574 Å and the angles 90.00°, 90.00° and 90.00°. The distinct sites, in fractional coordinates, are Sc at (0.0000, 0.0000, 0.0000), Cd at (0.2500, 0.2500, 0.7500), Os at (0.0000, 0.0000, 0.5000) and Os at (0.2500, 0.2500, 0.2500).

***

(8)
The following is a DFT calculation (GGA-PBE) of a relaxed ScCdOs2 crystal.

For the energy of formation from the pure elements, the calculation gives 27 kJ/mol of atoms. The calculated volume comes out at 16.72 Å³ per atom. Its density of states at the Fermi level is 3.72 states/eV/f.u.

The structure belongs to space group Pmmm (No. 47); the cell edges are 3.1481, 4.4808 and 4.7409 Å and the angles 90.00°, 90.00° and 90.00°. The distinct sites, in fractional coordinates, are Sc at (0.0000, 0.0000, 0.0000), Cd at (0.5000, 0.0000, 0.5000), Os at (0.0000, 0.5000, 0.5000) and Os at (0.5000, 0.5000, 0.0000).